Model P:
# Ca2CrTe2

Ca2CrTe2 after structural relaxation (PBE, Alexandria).

extended XYZ file:
```
10
Lattice="8.135 0.000 0.000 0.000 8.135 0.000 0.000 0.000 4.278" Properties=species:S:1:pos:R:3 pbc="T T T"
Ca 1.239 2.829 0.000
Ca 2.829 6.896 0.000
Ca 5.307 1.239 0.000
Ca 6.896 5.307 0.000
Cr 0.000 0.000 2.139
Cr 4.068 4.068 2.139
Te 1.306 5.373 2.139
Te 2.762 1.306 2.139
Te 5.373 6.829 2.139
Te 6.829 2.762 2.139
```

## Properties
- space group = P4/mbm (127)
- N(E_F) (states/eV/atom) = 0.50


Model Q:
# Ca2CrTe2

Ca2CrTe2 after structural relaxation (PBE, Alexandria).

extended XYZ file:
```
5
Lattice="-3.089 3.089 4.726 3.089 -3.089 4.726 3.089 3.089 -4.726" Properties=species:S:1:pos:R:3 pbc="T T T"
Ca 3.089 0.000 2.363
Ca 0.000 3.089 2.363
Cr 0.000 0.000 0.000
Te 0.000 0.000 2.720
Te 0.000 0.000 6.733
```

## Properties
- space group = I4/mmm (139)
- N(E_F) (states/eV/atom) = 0.77


Stability check: which of them is least stable? model Q.


Model P:
# CaTi2Cr

CaTi2Cr after structural relaxation (PBE, Alexandria).

extended XYZ file:
```
4
Lattice="0.000 3.296 3.296 3.296 0.000 3.296 3.296 3.296 0.000" Properties=species:S:1:pos:R:3 pbc="T T T"
Ca 0.000 0.000 0.000
Ti 1.648 1.648 1.648
Ti 4.944 4.944 4.944
Cr 3.296 3.296 3.296
```

## Properties
- space group = Fm-3m (225)
- N(E_F) (states/eV/atom) = 1.93


Model Q:
# CaTi2Cr

CaTi2Cr after structural relaxation (PBE, Alexandria).

extended XYZ file:
```
8
Lattice="-3.411 3.411 4.812 3.411 -3.411 4.812 3.411 3.411 -4.812" Properties=species:S:1:pos:R:3 pbc="T T T"
Ca 3.411 1.706 1.203
Ca 0.000 1.706 3.609
Ti 0.000 0.000 0.000
Ti 1.706 1.706 -2.406
Ti 1.706 -1.706 2.406
Ti 0.000 3.411 0.000
Cr 3.411 -1.706 3.609
Cr 0.000 5.117 1.203
```

## Properties
- space group = I4_1/amd (141)
- N(E_F) (states/eV/atom) = 1.42


Stability check: which of them is least stable? model Q.


Model P:
# Ca2Tl2Cr

Ca2Tl2Cr after structural relaxation (PBE, Alexandria).

extended XYZ file:
```
5
Lattice="-2.262 2.262 7.097 2.262 -2.262 7.097 2.262 2.262 -7.097" Properties=species:S:1:pos:R:3 pbc="T T T"
Ca 2.262 0.000 3.549
Ca 0.000 2.262 3.549
Tl 0.000 0.000 1.372
Tl 0.000 0.000 12.823
Cr 0.000 0.000 7.097
```

## Properties
- space group = I4/mmm (139)
- N(E_F) (states/eV/atom) = 1.48


Model Q:
# Ca2Tl2Cr

Ca2Tl2Cr after structural relaxation (PBE, Alexandria).

extended XYZ file:
```
10
Lattice="7.349 0.000 0.000 0.000 7.349 0.000 0.000 0.000 5.012" Properties=species:S:1:pos:R:3 pbc="T T T"
Ca 1.258 2.416 0.000
Ca 2.416 6.090 0.000
Ca 4.932 1.258 0.000
Ca 6.090 4.932 0.000
Tl 1.116 4.790 2.506
Tl 2.559 1.116 2.506
Tl 4.790 6.233 2.506
Tl 6.233 2.559 2.506
Cr 0.000 0.000 2.506
Cr 3.674 3.674 2.506
```

## Properties
- space group = P4/mbm (127)
- N(E_F) (states/eV/atom) = 0.63


Stability check: which of them is least stable? model P.


Model P:
# Ca3VCr

Ca3VCr after structural relaxation (PBE, Alexandria).

extended XYZ file:
```
5
Lattice="5.681 0.000 0.000 0.000 5.681 0.000 0.000 0.000 5.681" Properties=species:S:1:pos:R:3 pbc="T T T"
Ca 0.000 0.000 2.840
Ca 0.000 2.840 0.000
Ca 2.840 0.000 0.000
V 2.840 2.840 2.840
Cr 0.000 0.000 0.000
```

## Properties
- space group = Pm-3m (221)
- N(E_F) (states/eV/atom) = 2.51


Model Q:
# Ca3VCr

Ca3VCr after structural relaxation (PBE, Alexandria).

extended XYZ file:
```
5
Lattice="5.764 0.000 0.000 0.000 5.764 0.000 0.000 0.000 5.764" Properties=species:S:1:pos:R:3 pbc="T T T"
Ca 0.000 0.000 2.882
Ca 0.000 2.882 0.000
Ca 2.882 0.000 0.000
V 0.000 0.000 0.000
Cr 2.882 2.882 2.882
```

## Properties
- space group = Pm-3m (221)
- N(E_F) (states/eV/atom) = 0.77


Stability check: which of them is least stable? model P.


Model P:
# Ca2Cr2W

Ca2Cr2W after structural relaxation (PBE, Alexandria).

extended XYZ file:
```
5
Lattice="-1.893 1.893 6.579 1.893 -1.893 6.579 1.893 1.893 -6.579" Properties=species:S:1:pos:R:3 pbc="T T T"
Ca 1.893 0.000 3.289
Ca 0.000 1.893 3.289
Cr 0.000 0.000 0.945
Cr 0.000 0.000 12.213
W 0.000 0.000 6.579
```

## Properties
- space group = I4/mmm (139)
- N(E_F) (states/eV/atom) = 0.54


Model Q:
# Ca2Cr2W

Ca2Cr2W after structural relaxation (PBE, Alexandria).

extended XYZ file:
```
10
Lattice="8.256 0.000 0.000 0.000 8.256 0.000 0.000 0.000 2.973" Properties=species:S:1:pos:R:3 pbc="T T T"
Ca 1.739 2.390 0.000
Ca 2.390 6.518 0.000
Ca 5.867 1.739 0.000
Ca 6.518 5.867 0.000
Cr 0.645 4.773 1.486
Cr 3.483 0.645 1.486
Cr 4.773 7.611 1.486
Cr 7.611 3.483 1.486
W 0.000 0.000 1.486
W 4.128 4.128 1.486
```

## Properties
- space group = P4/mbm (127)
- N(E_F) (states/eV/atom) = 1.06


Stability check: which of them is least stable? model P.


Model P:
# Ca3CrW

Ca3CrW after structural relaxation (PBE, Alexandria).

extended XYZ file:
```
5
Lattice="5.487 0.000 0.000 0.000 5.487 0.000 0.000 0.000 5.487" Properties=species:S:1:pos:R:3 pbc="T T T"
Ca 0.000 0.000 2.744
Ca 0.000 2.744 0.000
Ca 2.744 0.000 0.000
Cr 2.744 2.744 2.744
W 0.000 0.000 0.000
```

## Properties
- space group = Pm-3m (221)
- N(E_F) (states/eV/atom) = 2.81


Model Q:
# Ca3CrW

Ca3CrW after structural relaxation (PBE, Alexandria).

extended XYZ file:
```
5
Lattice="5.119 0.000 0.000 0.000 5.119 0.000 0.000 0.000 5.119" Properties=species:S:1:pos:R:3 pbc="T T T"
Ca 0.000 0.000 2.560
Ca 0.000 2.560 0.000
Ca 2.560 0.000 0.000
Cr 0.000 0.000 0.000
W 2.560 2.560 2.560
```

## Properties
- space group = Pm-3m (221)
- N(E_F) (states/eV/atom) = 1.88


Stability check: which of them is least stable? model Q.


Model P:
# CaYCr

CaYCr after structural relaxation (PBE, Alexandria).

extended XYZ file:
```
3
Lattice="0.000 3.633 3.633 3.633 0.000 3.633 3.633 3.633 0.000" Properties=species:S:1:pos:R:3 pbc="T T T"
Ca 0.000 0.000 0.000
Y 3.633 3.633 3.633
Cr 1.816 1.816 1.816
```

## Properties
- space group = F-43m (216)
- N(E_F) (states/eV/atom) = 1.36


Model Q:
# CaYCr

CaYCr after structural relaxation (PBE, Alexandria).

extended XYZ file:
```
3
Lattice="-1.810 1.810 6.380 1.810 -1.810 6.380 1.810 1.810 -6.380" Properties=species:S:1:pos:R:3 pbc="T T T"
Ca 0.000 0.000 0.000
Y 0.000 0.000 9.208
Cr 0.000 0.000 4.442
```

## Properties
- space group = I4mm (107)
- N(E_F) (states/eV/atom) = 0.81


Model R:
# CaYCr

CaYCr after structural relaxation (PBE, Alexandria).

extended XYZ file:
```
3
Lattice="5.312 0.000 0.000 -2.656 4.600 0.000 0.000 0.000 3.422" Properties=species:S:1:pos:R:3 pbc="T T T"
Ca 0.000 0.000 0.000
Y 0.000 3.067 1.711
Cr 2.656 1.533 0.000
```

## Properties
- space group = P-6m2 (187)
- N(E_F) (states/eV/atom) = 1.27


Model S:
# CaYCr

CaYCr after structural relaxation (PBE, Alexandria).

extended XYZ file:
```
3
Lattice="3.596 0.000 0.000 -1.798 3.114 0.000 0.000 0.000 7.786" Properties=species:S:1:pos:R:3 pbc="T T T"
Ca 0.000 0.000 0.000
Y 0.000 2.076 4.552
Cr 1.798 1.038 2.387
```

## Properties
- space group = P3m1 (156)
- N(E_F) (states/eV/atom) = 0.98


Stability check: which of them is least stable? model P.


Model P:
# Ca2YCr2

Ca2YCr2 after structural relaxation (PBE, Alexandria).

extended XYZ file:
```
5
Lattice="-2.266 2.266 6.458 2.266 -2.266 6.458 2.266 2.266 -6.458" Properties=species:S:1:pos:R:3 pbc="T T T"
Ca 2.266 0.000 3.229
Ca 0.000 2.266 3.229
Y 0.000 0.000 0.000
Cr 0.000 0.000 5.564
Cr 0.000 0.000 7.351
```

## Properties
- space group = I4/mmm (139)
- N(E_F) (states/eV/atom) = 1.19


Model Q:
# Ca2YCr2

Ca2YCr2 after structural relaxation (PBE, Alexandria).

extended XYZ file:
```
10
Lattice="8.541 0.000 0.000 0.000 8.541 0.000 0.000 0.000 3.562" Properties=species:S:1:pos:R:3 pbc="T T T"
Ca 1.729 2.542 0.000
Ca 2.542 6.813 0.000
Ca 5.999 1.729 0.000
Ca 6.813 5.999 0.000
Y 0.000 0.000 1.781
Y 4.271 4.271 1.781
Cr 0.635 4.906 1.781
Cr 3.636 0.635 1.781
Cr 4.906 7.906 1.781
Cr 7.906 3.636 1.781
```

## Properties
- space group = P4/mbm (127)
- N(E_F) (states/eV/atom) = 1.21


Stability check: which of them is least stable? model P.


Model P:
# CaZn3Cr

CaZn3Cr after structural relaxation (PBE, Alexandria).

extended XYZ file:
```
5
Lattice="5.475 0.000 0.000 0.000 5.475 0.000 0.000 0.000 5.475" Properties=species:S:1:pos:R:3 pbc="T T T"
Ca 0.000 0.000 0.000
Zn 0.000 0.000 2.738
Zn 0.000 2.738 0.000
Zn 2.738 0.000 0.000
Cr 2.738 2.738 2.738
```

## Properties
- space group = Pm-3m (221)
- N(E_F) (states/eV/atom) = 0.59


Model Q:
# CaZn3Cr

CaZn3Cr after structural relaxation (PBE, Alexandria).

extended XYZ file:
```
5
Lattice="4.840 0.000 0.000 0.000 4.840 0.000 0.000 0.000 4.840" Properties=species:S:1:pos:R:3 pbc="T T T"
Ca 0.000 0.000 0.000
Zn 0.000 2.420 2.420
Zn 2.420 0.000 2.420
Zn 2.420 2.420 0.000
Cr 2.420 2.420 2.420
```

## Properties
- space group = Pm-3m (221)
- N(E_F) (states/eV/atom) = 0.67


Stability check: which of them is least stable? model P.


Model P:
# CsCa2Cu

CsCa2Cu after structural relaxation (PBE, Alexandria).

extended XYZ file:
```
4
Lattice="2.137 1.234 11.541 -2.137 1.234 11.541 0.000 -2.467 11.541" Properties=species:S:1:pos:R:3 pbc="T T T"
Cs 0.000 0.000 0.000
Ca 0.000 0.000 4.209
Ca 0.000 0.000 30.415
Cu 0.000 0.000 17.312
```

## Properties
- space group = R-3m (166)
- N(E_F) (states/eV/atom) = 0.76


Model Q:
# CsCa2Cu

CsCa2Cu after structural relaxation (PBE, Alexandria).

extended XYZ file:
```
8
Lattice="-4.425 4.425 6.212 4.425 -4.425 6.212 4.425 4.425 -6.212" Properties=species:S:1:pos:R:3 pbc="T T T"
Cs 0.000 0.000 0.000
Cs 0.000 4.425 3.106
Ca 2.213 4.394 -1.553
Ca 4.457 2.213 1.553
Ca 2.213 0.031 4.659
Ca -0.031 2.213 7.765
Cu 4.425 0.000 3.106
Cu 0.000 0.000 6.212
```

## Properties
- space group = I-42d (122)
- N(E_F) (states/eV/atom) = 0.00


Model R:
# CsCa2Cu

CsCa2Cu after structural relaxation (PBE, Alexandria).

extended XYZ file:
```
4
Lattice="0.000 4.106 4.106 4.106 0.000 4.106 4.106 4.106 0.000" Properties=species:S:1:pos:R:3 pbc="T T T"
Cs 0.000 0.000 0.000
Ca 2.053 2.053 2.053
Ca 6.159 6.159 6.159
Cu 4.106 4.106 4.106
```

## Properties
- space group = Fm-3m (225)
- N(E_F) (states/eV/atom) = 1.29


Stability check: which of them is least stable? model R.


Model P:
# CsCa3Cu

CsCa3Cu after structural relaxation (PBE, Alexandria).

extended XYZ file:
```
5
Lattice="5.808 0.000 0.000 0.000 5.808 0.000 0.000 0.000 5.808" Properties=species:S:1:pos:R:3 pbc="T T T"
Cs 0.000 0.000 0.000
Ca 0.000 0.000 2.904
Ca 0.000 2.904 0.000
Ca 2.904 0.000 0.000
Cu 2.904 2.904 2.904
```

## Properties
- space group = Pm-3m (221)
- N(E_F) (states/eV/atom) = 1.50


Model Q:
# CsCa3Cu

CsCa3Cu after structural relaxation (PBE, Alexandria).

extended XYZ file:
```
5
Lattice="5.951 0.000 0.000 0.000 5.951 0.000 0.000 0.000 5.951" Properties=species:S:1:pos:R:3 pbc="T T T"
Cs 0.000 0.000 0.000
Ca 0.000 2.976 2.976
Ca 2.976 0.000 2.976
Ca 2.976 2.976 0.000
Cu 2.976 2.976 2.976
```

## Properties
- space group = Pm-3m (221)
- N(E_F) (states/eV/atom) = 0.75


Stability check: which of them is least stable? model P.


Model P:
# CsCaCu3

CsCaCu3 after structural relaxation (PBE, Alexandria).

extended XYZ file:
```
5
Lattice="5.627 0.000 0.000 0.000 5.627 0.000 0.000 0.000 5.627" Properties=species:S:1:pos:R:3 pbc="T T T"
Cs 0.000 0.000 0.000
Ca 2.813 2.813 2.813
Cu 0.000 2.813 2.813
Cu 2.813 0.000 2.813
Cu 2.813 2.813 0.000
```

## Properties
- space group = Pm-3m (221)
- N(E_F) (states/eV/atom) = 0.02


Model Q:
# CsCaCu3

CsCaCu3 after structural relaxation (PBE, Alexandria).

extended XYZ file:
```
5
Lattice="5.584 0.000 0.000 0.000 5.584 0.000 0.000 0.000 5.584" Properties=species:S:1:pos:R:3 pbc="T T T"
Cs 0.000 0.000 0.000
Ca 2.792 2.792 2.792
Cu 0.000 0.000 2.792
Cu 0.000 2.792 0.000
Cu 2.792 0.000 0.000
```

## Properties
- space group = Pm-3m (221)
- N(E_F) (states/eV/atom) = 0.27


Stability check: which of them is least stable? model Q.